# 1
InGaS4: relaxed, GGA-PBE.

Cell: 6.2959 6.2959 8.3203 Å, 90.00 90.00 124.56°
Fractional coordinates of all 12 atoms:
In (0.0000, 0.0000, 0.0000)
In (0.0000, 0.0000, 0.5000)
Ga (0.3223, 0.6777, 0.7500)
Ga (0.6777, 0.3223, 0.2500)
S (0.2427, 0.7573, 0.5011)
S (0.2427, 0.7573, 0.9989)
S (0.2663, 0.2755, 0.7500)
S (0.2755, 0.2663, 0.2500)
S (0.7245, 0.7337, 0.7500)
S (0.7337, 0.7245, 0.2500)
S (0.7573, 0.2427, 0.0011)
S (0.7573, 0.2427, 0.4989)

Results
For the volume, the calculation gives 135.8 Å³/f.u. The crystal system is orthorhombic. As for the electronic total energy: -3.97 eV per atom.


# 2
CsMgTa: relaxed, GGA-PBE.

Cell: 3.3857 6.3757 10.3357 Å, 74.43 82.59 74.69°
Fractional coordinates of all 6 atoms:
Cs (0.0000, 0.0000, 0.0000)
Cs (0.0587, 0.3823, 0.2879)
Mg (0.3119, 0.7822, 0.4835)
Mg (0.6309, 0.9986, 0.6652)
Ta (0.2847, 0.5895, 0.7932)
Ta (0.9244, 0.4248, 0.6493)

Results
For the volume, the calculation gives 103.4 Å³/f.u. The crystal system is triclinic. The energy above the most stable polymorph in this dataset comes out at 228 meV per atom.


# 3
Be2IrWSe: relaxed, GGA-PBE.

Cell: 4.1162 4.1162 4.9841 Å, 90.00 90.00 90.00°
Fractional coordinates of all 5 atoms:
Be (0.0000, 0.5000, 0.0000)
Be (0.5000, 0.0000, 0.0000)
Ir (0.0000, 0.0000, 0.0000)
W (0.5000, 0.5000, 0.5000)
Se (0.0000, 0.0000, 0.5000)

Results
For the volume, the calculation gives 84.4 Å³/f.u. The crystal system is tetragonal. As for the electronic total energy: -5.40 eV per atom.


# 4
YB3S: relaxed, GGA-PBE.

Cell: 3.9703 3.9703 3.9703 Å, 90.00 90.00 90.00°
Fractional coordinates of all 5 atoms:
Y (0.0000, 0.0000, 0.0000)
B (0.0000, 0.5000, 0.5000)
B (0.5000, 0.0000, 0.5000)
B (0.5000, 0.5000, 0.0000)
S (0.5000, 0.5000, 0.5000)

Results
For the volume, the calculation gives 62.6 Å³/f.u. The crystal system is cubic. The energy above the most stable polymorph in this dataset comes out at 0 meV per atom.


| no. | total magnetic moment (μB/cell) | Fermi-level density of states (states/eV per atom) |
| --- | --- | --- |
| 1 | 0.00 | 0.28 |
| 2 | 0.00 | 0.28 |
| 3 | 2.79 | 0.52 |
| 4 | 0.00 | 0.38 |